[1]
Here is crystalline SrCl2F6 at its relaxed geometry from the Alexandria database. Energies are from PBE.

abc: 7.997 7.997 7.585
angles: 87.05 127.89 117.80
Each line ends with the local moment (μB).
Fractional positions:
1 Sr 0.425 0.175 0.250  0.01
2 Sr 0.575 0.825 0.750  0.01
3 Cl 0.664 0.377 0.842  0.46
4 Cl 0.035 0.822 0.658  0.46
5 Cl 0.336 0.623 0.158  0.46
6 Cl 0.965 0.178 0.342  0.46
7 F 0.466 0.182 0.963  0.34
8 F 0.719 0.504 0.537  0.34
9 F 0.534 0.818 0.037  0.34
10 F 0.281 0.496 0.463  0.34
11 F 0.589 0.145 0.674  0.02
12 F 0.970 0.914 0.826  0.02
13 F 0.411 0.855 0.326  0.02
14 F 0.030 0.086 0.174  0.02
15 F 0.735 0.595 0.985  0.06
16 F 0.111 0.751 0.515  0.06
17 F 0.265 0.405 0.015  0.06
18 F 0.889 0.249 0.485  0.06


[2]
Here is crystalline SrCl2F at its relaxed geometry from the Alexandria database. Energies are from PBE.

abc: 7.699 7.699 7.699
angles: 35.05 35.05 35.05
Each line ends with the local moment (μB).
Fractional positions:
1 Sr 0.500 0.500 0.500  0.00
2 F 0.000 0.000 0.000  0.55
3 Cl 0.890 0.890 0.890  0.15
4 Cl 0.110 0.110 0.110  0.15


Number 1: raw formation energy -13.8 eV/f.u.. Number 2: raw formation energy -7.0 eV/f.u..